Record 1
CeEu3 PBE relaxed; SG = Pmm2, No. 25; crystal system = orthorhombic; DFT formation energy = 0.202 eV per atom
1.0
3.714 0.000 0.000
0.000 6.150 0.000
0.000 0.000 6.787
Ce Eu
1 3
Cartesian
0.000 0.000 0.000
0.000 3.075 2.011
1.857 0.000 3.399
1.857 3.075 5.494


Record 2
MgHgH PBE relaxed; SG = P-6m2, No. 187; uncorrected energy = -1.715 eV/atom; crystal system = hexagonal
1.0
3.403 0.000 0.000
-1.702 2.947 0.000
0.000 0.000 4.923
Mg Hg H
1 1 1
Cartesian
0.000 0.000 0.000
0.000 1.965 2.461
1.702 0.982 0.000


Record 3
Ac12Si6Ag PBE relaxed; SG = Im-3, No. 204; crystal system = cubic; formation energy without anion corrections = -0.37 eV per atom
1.0
-5.481 5.481 5.481
5.481 -5.481 5.481
5.481 5.481 -5.481
Ac Si Ag
12 6 1
Cartesian
5.481 3.416 -2.190
3.291 0.000 2.065
7.672 0.000 2.065
2.065 3.291 0.000
3.416 -2.190 5.481
0.000 2.065 3.291
5.481 3.416 2.190
2.065 7.672 0.000
3.416 2.190 5.481
-2.190 5.481 3.416
2.190 5.481 3.416
0.000 2.065 7.672
5.481 1.199 0.000
5.481 0.000 4.283
4.283 5.481 0.000
1.199 0.000 5.481
0.000 5.481 1.199
0.000 4.283 5.481
0.000 0.000 0.000


Record 4
Y2AgRu PBE relaxed; SG = I-4m2, No. 119; crystal system = tetragonal; DFT formation energy = -0.077 eV per atom
1.0
4.217 0.000 0.000
0.000 4.217 0.000
0.000 0.000 9.814
Y Ag Ru
4 2 2
Cartesian
0.000 0.000 0.000
0.000 2.108 2.454
2.108 0.000 7.361
2.108 2.108 4.907
0.000 2.108 7.361
2.108 0.000 2.454
0.000 0.000 4.907
2.108 2.108 0.000


Record 5
TcTe2NCl PBE relaxed; SG = P4/mmm, No. 123; crystal system = tetragonal; formation energy without anion corrections = 1.72 eV per atom
1.0
5.467 0.000 0.000
0.000 5.467 0.000
0.000 0.000 3.380
Tc Te N Cl
1 2 1 1
Cartesian
0.000 0.000 0.000
0.000 2.733 1.690
2.733 0.000 1.690
2.733 2.733 0.000
2.733 2.733 1.690


Record 6
LaIn2Os PBE relaxed; SG = Pm, No. 6; crystal system = monoclinic; DFT formation energy = 0.022 eV per atom
1.0
3.423 0.000 0.000
0.000 3.426 0.000
-0.038 0.000 8.145
La In Os
1 2 1
Cartesian
0.000 0.000 0.000
0.004 0.000 3.305
1.679 1.713 5.431
1.718 1.713 1.871


Record 7
LaSO2F PBE relaxed; SG = P4/mmm, No. 123; crystal system = tetragonal; formation energy without anion corrections = -1.44 eV per atom
1.0
3.796 0.000 0.000
0.000 3.796 0.000
0.000 0.000 4.851
La S O F
1 1 2 1
Cartesian
0.000 0.000 0.000
1.898 1.898 2.425
0.000 1.898 2.425
1.898 0.000 2.425
1.898 1.898 0.000


Record 8
YTmIn PBE relaxed; SG = P3m1, No. 156; crystal system = trigonal; DFT formation energy = -0.232 eV per atom
1.0
5.201 0.000 0.000
-2.601 4.504 0.000
0.000 0.000 3.628
Y Tm In
1 1 1
Cartesian
0.000 0.000 0.000
2.601 1.501 2.010
0.000 3.003 1.191


Record 9
TbPm2Pr6Tm PBE relaxed; SG = C2/c, No. 15; crystal system = monoclinic; DFT formation energy = 0.113 eV per atom
1.0
4.657 -7.754 0.000
4.657 7.754 0.000
-1.371 0.000 9.720
Tb Pm Pr Tm
2 4 12 2
Cartesian
3.629 7.402 7.290
4.314 -7.402 2.430
1.562 0.768 5.287
2.247 -0.768 0.427
5.696 0.768 9.293
6.381 -0.768 4.433
1.749 4.339 6.718
4.017 4.948 0.521
4.612 4.948 4.339
2.502 1.646 8.579
5.509 4.339 7.862
4.756 1.646 6.002
3.187 -1.646 3.718
2.434 -4.339 1.858
5.442 -1.646 1.142
3.331 -4.948 5.381
3.927 -4.948 9.199
6.194 -4.339 3.002
4.314 1.384 2.430
3.629 -1.384 7.290


Record 10
LiTh2PaN4 PBE relaxed; SG = P2/m, No. 10; crystal system = monoclinic; formation energy without anion corrections = -1.30 eV per atom
1.0
5.942 0.000 0.000
0.000 3.640 0.000
-1.867 0.000 5.860
Li Th Pa N
1 2 1 4
Cartesian
0.000 0.000 0.000
-0.933 1.820 2.930
2.038 0.000 2.930
2.971 1.820 0.000
0.121 0.000 4.531
1.231 1.820 1.490
2.844 1.820 4.370
3.954 0.000 1.329


Record 11
CuPBrO2 PBE relaxed; SG = P4/mmm, No. 123; crystal system = tetragonal; formation energy without anion corrections = 0.41 eV per atom
1.0
3.736 0.000 0.000
0.000 3.736 0.000
0.000 0.000 5.254
Cu P Br O
1 1 1 2
Cartesian
0.000 0.000 0.000
0.000 0.000 2.627
1.868 1.868 2.627
0.000 1.868 0.000
1.868 0.000 0.000


Record 12
CsIr2SeBr PBE relaxed; SG = P4/mmm, No. 123; crystal system = tetragonal; formation energy without anion corrections = 1.32 eV per atom
1.0
4.752 0.000 0.000
0.000 4.752 0.000
0.000 0.000 6.819
Cs Ir Se Br
1 2 1 1
Cartesian
0.000 0.000 0.000
0.000 2.376 3.410
2.376 0.000 3.410
2.376 2.376 0.000
0.000 0.000 3.410